# ScPbSe3 | the Alexandria database | PBE | relaxed
data_ScPbSe3
_chemical_formula_sum 'Sc1 Pb1 Se3'
_cell_length_a 5.350
_cell_length_b 5.350
_cell_length_c 5.350
_cell_angle_alpha 90.00
_cell_angle_beta 90.00
_cell_angle_gamma 90.00
_symmetry_space_group_name_H-M 'P m -3 m'
_symmetry_Int_Tables_number 221
_symmetry_space_group_name_Hall '-P 4 2 3'
loop_
_atom_site_label
_atom_site_fract_x
_atom_site_fract_y
_atom_site_fract_z
Sc1 0.000 0.000 0.000
Pb1 0.500 0.500 0.500
Se1 0.000 0.500 0.500
# Formation energy (no corrections): 0.162 eV/atom
# DOS(E_F): 0.4883 states/eV per atom
# Energy above the most stable polymorph in this dataset: 891 meV/atom
# Volume: 153.12 Å³/f.u.